A plane-wave DFT calculation with PBE was carried out for crystalline NdHo8Tm6 at its relaxed geometry.

Calculated values
The electronic total energy comes out at -4.316 eV per atom. The value obtained for the calculated density is 8.46 g/cm3. The relative energy among the computed polymorphs comes out at 1.392 eV/f.u. The crystal system is trigonal. The calculation puts the formation energy at 0.232 eV/atom.

Unit cell a=9.339 b=9.339 c=6.438 alpha=90.00 beta=90.00 gamma=120.00
Sites, in units of the cell vectors:
Nd  0.000  0.000  0.000
Ho  0.026  0.686  0.405
Ho  0.314  0.339  0.405
Ho  0.333  0.667  0.671
Ho  0.339  0.026  0.595
Ho  0.661  0.974  0.405
Ho  0.667  0.333  0.329
Ho  0.686  0.661  0.595
Ho  0.974  0.314  0.595
Tm  0.097  0.416  0.091
Tm  0.320  0.903  0.091
Tm  0.416  0.320  0.909
Tm  0.584  0.680  0.091
Tm  0.680  0.097  0.909
Tm  0.903  0.584  0.909


A plane-wave DFT calculation with PBE was carried out for crystalline NdHo2Tm6 at its relaxed geometry.

Calculated values
The electronic total energy comes out at -4.431 eV per atom. The value obtained for the calculated density is 8.78 g/cm3. The relative energy among the computed polymorphs comes out at 0.636 eV/f.u. The crystal system is monoclinic. The calculation puts the formation energy at 0.097 eV/atom.

Unit cell a=6.036 b=6.036 c=14.375 alpha=102.63 beta=102.63 gamma=33.50
Sites, in units of the cell vectors:
Nd  0.000  0.000  0.000
Ho  0.393  0.393  0.776
Ho  0.607  0.607  0.224
Tm  0.122  0.122  0.445
Tm  0.301  0.301  0.106
Tm  0.362  0.362  0.346
Tm  0.638  0.638  0.654
Tm  0.699  0.699  0.894
Tm  0.878  0.878  0.555


A plane-wave DFT calculation with PBE was carried out for crystalline Nd10Ho4Tm at its relaxed geometry.

Calculated values
The electronic total energy comes out at -4.012 eV per atom. The value obtained for the calculated density is 6.35 g/cm3. The crystal system is tetragonal. The calculation puts the formation energy at 0.685 eV/atom.

Unit cell a=9.558 b=9.558 c=9.558 alpha=99.59 beta=99.59 gamma=131.83
Sites, in units of the cell vectors:
Nd  0.050  0.349  0.900
Nd  0.150  0.050  0.701
Nd  0.250  0.750  0.500
Nd  0.349  0.449  0.299
Nd  0.449  0.150  0.100
Nd  0.551  0.850  0.900
Nd  0.651  0.551  0.701
Nd  0.750  0.250  0.500
Nd  0.850  0.950  0.299
Nd  0.950  0.651  0.100
Ho  0.201  0.400  0.600
Ho  0.400  0.799  0.199
Ho  0.600  0.201  0.801
Ho  0.799  0.600  0.400
Tm  0.000  0.000  0.000


A plane-wave DFT calculation with PBE was carried out for crystalline Nd12Ho2Tm5 at its relaxed geometry.

Calculated values
The electronic total energy comes out at -4.568 eV per atom. The value obtained for the calculated density is 7.56 g/cm3. The relative energy among the computed polymorphs comes out at 0.441 eV/f.u. The crystal system is monoclinic. The calculation puts the formation energy at 0.102 eV/atom.

Unit cell a=10.711 b=10.711 c=6.217 alpha=100.32 beta=100.32 gamma=66.28
Sites, in units of the cell vectors:
Nd  0.045  0.562  0.802
Nd  0.057  0.057  0.273
Nd  0.149  0.643  0.384
Nd  0.357  0.851  0.616
Nd  0.380  0.380  0.996
Nd  0.438  0.955  0.198
Nd  0.562  0.045  0.802
Nd  0.620  0.620  0.004
Nd  0.643  0.149  0.384
Nd  0.851  0.357  0.616
Nd  0.943  0.943  0.727
Nd  0.955  0.438  0.198
Ho  0.269  0.731  0.000
Ho  0.731  0.269  0.000
Tm  0.178  0.178  0.859
Tm  0.284  0.284  0.445
Tm  0.500  0.500  0.500
Tm  0.716  0.716  0.555
Tm  0.822  0.822  0.141


A plane-wave DFT calculation with PBE was carried out for crystalline NdHo6Tm5 at its relaxed geometry.

Calculated values
The electronic total energy comes out at -4.527 eV per atom. The value obtained for the calculated density is 8.89 g/cm3. The crystal system is monoclinic. The calculation puts the formation energy at 0.022 eV/atom.

Unit cell a=6.093 b=6.093 c=11.673 alpha=94.99 beta=94.99 gamma=119.95
Sites, in units of the cell vectors:
Nd  0.000  0.000  0.000
Ho  0.084  0.418  0.252
Ho  0.251  0.251  0.748
Ho  0.418  0.084  0.252
Ho  0.582  0.916  0.748
Ho  0.749  0.749  0.252
Ho  0.916  0.582  0.748
Tm  0.167  0.833  0.500
Tm  0.333  0.667  0.000
Tm  0.500  0.500  0.500
Tm  0.667  0.333  0.000
Tm  0.833  0.167  0.500


A plane-wave DFT calculation with PBE was carried out for crystalline Nd7Ho4Tm at its relaxed geometry.

Calculated values
The electronic total energy comes out at -4.416 eV per atom. The value obtained for the calculated density is 7.40 g/cm3. The relative energy among the computed polymorphs comes out at 3.086 eV/f.u. The crystal system is monoclinic. The calculation puts the formation energy at 0.264 eV/atom.

Unit cell a=6.760 b=6.760 c=12.793 alpha=114.73 beta=114.73 gamma=53.00
Sites, in units of the cell vectors:
Nd  0.000  0.000  0.000
Nd  0.210  0.210  0.921
Nd  0.245  0.245  0.683
Nd  0.370  0.370  0.501
Nd  0.630  0.630  0.499
Nd  0.755  0.755  0.317
Nd  0.790  0.790  0.079
Ho  0.062  0.062  0.322
Ho  0.369  0.369  0.224
Ho  0.631  0.631  0.776
Ho  0.938  0.938  0.678
Tm  0.500  0.500  0.000


A plane-wave DFT calculation with PBE was carried out for crystalline NdHo10Tm4 at its relaxed geometry.

Calculated values
The electronic total energy comes out at -3.833 eV per atom. The value obtained for the calculated density is 7.39 g/cm3. The crystal system is tetragonal. The calculation puts the formation energy at 0.729 eV/atom.

Unit cell a=9.340 b=9.340 c=9.340 alpha=99.60 beta=99.60 gamma=131.80
Sites, in units of the cell vectors:
Nd  0.000  0.000  0.000
Ho  0.051  0.152  0.697
Ho  0.152  0.455  0.100
Ho  0.250  0.750  0.500
Ho  0.354  0.051  0.900
Ho  0.455  0.354  0.303
Ho  0.545  0.646  0.697
Ho  0.646  0.949  0.100
Ho  0.750  0.250  0.500
Ho  0.848  0.545  0.900
Ho  0.949  0.848  0.303
Tm  0.199  0.600  0.798
Tm  0.400  0.199  0.599
Tm  0.600  0.801  0.401
Tm  0.801  0.400  0.202


A plane-wave DFT calculation with PBE was carried out for crystalline NdHo4Tm15 at its relaxed geometry.

Calculated values
The electronic total energy comes out at -4.481 eV per atom. The value obtained for the calculated density is 9.12 g/cm3. The crystal system is tetragonal. The calculation puts the formation energy at 0.026 eV/atom.

Unit cell a=4.954 b=4.954 c=24.767 alpha=90.00 beta=90.00 gamma=90.00
Sites, in units of the cell vectors:
Nd  0.000  0.000  0.000
Ho  0.000  0.000  0.201
Ho  0.000  0.000  0.400
Ho  0.000  0.000  0.600
Ho  0.000  0.000  0.799
Tm  0.000  0.500  0.102
Tm  0.000  0.500  0.301
Tm  0.000  0.500  0.500
Tm  0.000  0.500  0.699
Tm  0.000  0.500  0.898
Tm  0.500  0.000  0.102
Tm  0.500  0.000  0.301
Tm  0.500  0.000  0.500
Tm  0.500  0.000  0.699
Tm  0.500  0.000  0.898
Tm  0.500  0.500  0.000
Tm  0.500  0.500  0.202
Tm  0.500  0.500  0.400
Tm  0.500  0.500  0.600
Tm  0.500  0.500  0.798


A plane-wave DFT calculation with PBE was carried out for crystalline Nd3Ho5Tm2 at its relaxed geometry.

Calculated values
The electronic total energy comes out at -4.419 eV per atom. The value obtained for the calculated density is 8.05 g/cm3. The crystal system is monoclinic. The calculation puts the formation energy at 0.194 eV/atom.

Unit cell a=9.602 b=9.602 c=9.373 alpha=108.33 beta=108.33 gamma=112.46
Sites, in units of the cell vectors:
Nd  0.019  0.267  0.044
Nd  0.235  0.765  0.750
Nd  0.267  0.019  0.544
Nd  0.733  0.981  0.456
Nd  0.765  0.235  0.250
Nd  0.981  0.733  0.956
Ho  0.028  0.972  0.750
Ho  0.152  0.372  0.771
Ho  0.272  0.728  0.250
Ho  0.372  0.152  0.271
Ho  0.469  0.531  0.250
Ho  0.531  0.469  0.750
Ho  0.628  0.848  0.729
Ho  0.728  0.272  0.750
Ho  0.848  0.628  0.229
Ho  0.972  0.028  0.250
Tm  0.232  0.463  0.453
Tm  0.463  0.232  0.953
Tm  0.537  0.768  0.047
Tm  0.768  0.537  0.547


Number 1: calculated volume 32.4 Å³ per atom. Number 2: calculated volume 31.3 Å³ per atom. Number 3: calculated volume 39.6 Å³ per atom. Number 4: calculated volume 33.6 Å³ per atom. Number 5: calculated volume 30.8 Å³ per atom. Number 6: calculated volume 34.4 Å³ per atom. Number 7: calculated volume 37.0 Å³ per atom. Number 8: calculated volume 30.4 Å³ per atom. Number 9: calculated volume 32.9 Å³ per atom.